The following is a GGA-PBE calculation of an optimized crystal structure of Nd4CoNiCl2, from Alexandria via LeMat-Bulk.

It has space group P2/m (No. 10), with a = 6.9405 Å, b = 4.0038 Å, c = 7.8631 Å, α = 90.00°, β = 107.23° and γ = 90.00°. Symmetry generates all atoms from Nd at (0.2298, 0.0000, 0.2009), Nd at (0.2599, 0.5000, 0.7989), Co at (0.0000, 0.5000, 0.0000), Ni at (0.5000, 0.0000, 0.0000), Cl at (0.0000, 0.0000, 0.5000) and Cl at (0.5000, 0.5000, 0.5000).

The crystal system is monoclinic. Its total energy is -5.330 eV per atom.